1.
This record from the Alexandria database describes Ho6GaP2Se3 after structural relaxation. The functional is GGA-PBE.

Lattice parameters (Å, degrees): 9.1074 9.1074 8.2299 103.59 103.59 25.34
Last column: nearest neighbours and their distance in Å.
Fractional coordinates of all 12 atoms:
Ho 0.0038 0.0038 0.2483  1 P 2.82, 2 Ga 2.85, 3 Se 2.89-2.97
Ho 0.3279 0.3279 0.4286  3 P 2.77, 3 Se 2.94-2.97
Ho 0.3357 0.3357 0.9045  2 P 2.80, 1 Ga 2.84, 3 Se 2.89-2.97
Ho 0.6643 0.6643 0.0955  2 P 2.80, 1 Ga 2.84, 3 Se 2.89-2.97
Ho 0.6721 0.6721 0.5714  3 P 2.77, 3 Se 2.94-2.97
Ho 0.9962 0.9962 0.7517  1 P 2.82, 2 Ga 2.85, 3 Se 2.89-2.97
Ga 0.5000 0.5000 0.0000  6 Ho 2.84-2.85
P 0.1675 0.1675 0.3355  6 Ho 2.77-2.82
P 0.8325 0.8325 0.6645  6 Ho 2.77-2.82
Se 0.1681 0.1681 0.8313  6 Ho 2.89-2.97
Se 0.5000 0.5000 0.5000  6 Ho 2.89-2.97
Se 0.8319 0.8319 0.1687  6 Ho 2.89-2.97

Results
**Volume**: 283.61 Å³ per cell
**E_form (uncorrected)**: -1559 meV per atom
**Calculated density**: 7.95 g/cm3

***

2.
This record from the Alexandria database describes HoGa2Tc2P after structural relaxation. The functional is GGA-PBE.

Lattice parameters (Å, degrees): 4.4403 4.4403 5.5304 90.00 90.00 90.00
Last column: nearest neighbours and their distance in Å.
Fractional coordinates of all 6 atoms:
Ho 0.0000 0.0000 0.0000  2 P 2.77
Ga 0.5000 0.5000 0.2256  1 Ga 2.49, 4 Tc 2.69
Ga 0.5000 0.5000 0.7744  1 Ga 2.49, 4 Tc 2.69
Tc 0.0000 0.5000 0.5000  2 P 2.22
Tc 0.5000 0.0000 0.5000  2 P 2.22
P 0.0000 0.0000 0.5000  4 Tc 2.22

Results
**Volume**: 109.04 Å³ per cell
**Formation energy from the elements**: -0.434 eV per atom
**Calculated density**: 8.09 g/cm3

***

3.
This record from the Alexandria database describes Ho6GaTe3P2 after structural relaxation. The functional is GGA-PBE.

Lattice parameters (Å, degrees): 9.4629 9.4629 8.5766 104.90 104.90 25.04
Last column: nearest neighbours and their distance in Å.
Fractional coordinates of all 12 atoms:
Ho 0.0081 0.0081 0.2381  1 P 2.85, 2 Ga 2.87, 3 Te 3.07-3.14
Ho 0.3243 0.3243 0.4381  3 P 2.79-2.80, 2 Te 3.12
Ho 0.3394 0.3394 0.8939  2 P 2.83, 1 Ga 2.87, 3 Te 3.08-3.15
Ho 0.6606 0.6606 0.1061  2 P 2.83, 1 Ga 2.87, 3 Te 3.08-3.15
Ho 0.6757 0.6757 0.5619  3 P 2.79-2.80, 2 Te 3.12
Ho 0.9919 0.9919 0.7619  1 P 2.85, 2 Ga 2.87, 3 Te 3.07-3.14
Ga 0.5000 0.5000 0.0000  6 Ho 2.87
Te 0.1674 0.1674 0.8312  6 Ho 3.08-3.15
Te 0.5000 0.5000 0.5000  6 Ho 3.07-3.15
Te 0.8326 0.8326 0.1688  6 Ho 3.08-3.15
P 0.1679 0.1679 0.3363  6 Ho 2.79-2.85
P 0.8321 0.8321 0.6637  6 Ho 2.79-2.85

Results
**Volume**: 313.60 Å³ per cell
**E_form (uncorrected)**: -1333 meV per atom
**Calculated density**: 7.96 g/cm3

***

4.
This record from the Alexandria database describes Ho8Ga3Te4P after structural relaxation. The functional is GGA-PBE.

Lattice parameters (Å, degrees): 8.6519 8.6519 8.6519 57.35 57.35 57.35
Last column: nearest neighbours and their distance in Å.
Fractional coordinates of all 16 atoms:
Ho 0.2446 0.2446 0.2446  3 Ga 2.93, 3 Te 3.07
Ho 0.2465 0.7378 0.7378  1 P 2.85, 2 Ga 2.90, 3 Te 3.11-3.16
Ho 0.2622 0.2622 0.7535  1 P 2.85, 2 Ga 2.90, 3 Te 3.11-3.16
Ho 0.2622 0.7535 0.2622  1 P 2.85, 2 Ga 2.90, 3 Te 3.11-3.16
Ho 0.7378 0.2465 0.7378  1 P 2.85, 2 Ga 2.90, 3 Te 3.11-3.16
Ho 0.7378 0.7378 0.2465  1 P 2.85, 2 Ga 2.90, 3 Te 3.11-3.16
Ho 0.7535 0.2622 0.2622  1 P 2.85, 2 Ga 2.90, 3 Te 3.11-3.16
Ho 0.7554 0.7554 0.7554  3 Ga 2.93, 3 Te 3.07
Ga 0.0000 0.0000 0.5000  6 Ho 2.90-2.93
Ga 0.0000 0.5000 0.0000  6 Ho 2.90-2.93
Ga 0.5000 0.0000 0.0000  6 Ho 2.90-2.93
Te 0.0000 0.0000 0.0000  6 Ho 3.16
Te 0.0000 0.5000 0.5000  6 Ho 3.07-3.11
Te 0.5000 0.0000 0.5000  6 Ho 3.07-3.11
Te 0.5000 0.5000 0.0000  6 Ho 3.07-3.11
P 0.5000 0.5000 0.5000  6 Ho 2.85

Results
**Volume**: 430.04 Å³ per cell
**E_form (uncorrected)**: -1059 meV per atom
**Calculated density**: 7.99 g/cm3

***

5.
This record from the Alexandria database describes Ho4GaTe2P after structural relaxation. The functional is GGA-PBE.

Lattice parameters (Å, degrees): 7.2880 4.1057 7.4478 90.00 108.32 90.00
Last column: nearest neighbours and their distance in Å.
Fractional coordinates of all 8 atoms:
Ho 0.2357 0.0000 0.2139  2 P 2.83, 1 Ga 2.86, 3 Te 3.13-3.14
Ho 0.2556 0.5000 0.7762  1 P 2.86, 2 Ga 2.88, 3 Te 3.08-3.12
Ho 0.7444 0.5000 0.2238  1 P 2.86, 2 Ga 2.88, 3 Te 3.08-3.12
Ho 0.7643 0.0000 0.7861  2 P 2.83, 1 Ga 2.86, 3 Te 3.13-3.14
Ga 0.5000 0.0000 0.0000  6 Ho 2.86-2.88
Te 0.0000 0.0000 0.5000  6 Ho 3.08-3.13
Te 0.5000 0.5000 0.5000  6 Ho 3.12-3.14
P 0.0000 0.5000 0.0000  6 Ho 2.83-2.86

Results
**Volume**: 211.55 Å³ per cell
**E_form (uncorrected)**: -1226 meV per atom
**Calculated density**: 7.97 g/cm3

***

6.
This record from the Alexandria database describes HoPaGa2 after structural relaxation. The functional is GGA-PBE.

Lattice parameters (Å, degrees): 3.2856 3.2856 8.1227 90.00 90.00 90.00
Last column: nearest neighbours and their distance in Å.
Fractional coordinates of all 4 atoms:
Ho 0.0000 0.0000 0.0000  8 Ga 3.07, 4 Ho 3.29
Pa 0.0000 0.0000 0.5000  8 Ga 3.10, 4 Pa 3.29
Ga 0.5000 0.5000 0.2475  4 Ho 3.07, 4 Pa 3.10, 4 Ga 3.29
Ga 0.5000 0.5000 0.7525  4 Ho 3.07, 4 Pa 3.10, 4 Ga 3.29

Results
**Volume**: 87.69 Å³ per cell
**Relative energy among the computed polymorphs**: 0.0000 eV/atom
**Formation energy from the elements**: -0.391 eV per atom
**Calculated density**: 10.14 g/cm3

***

7.
This record from the Alexandria database describes Ho2PaGa6 after structural relaxation. The functional is GGA-PBE.

Lattice parameters (Å, degrees): 7.5932 7.5932 3.6502 90.00 90.00 120.00
Last column: nearest neighbours and their distance in Å.
Fractional coordinates of all 9 atoms:
Ho 0.3333 0.6667 0.0000  12 Ga 3.12
Ho 0.6667 0.3333 0.0000  12 Ga 3.12
Pa 0.0000 0.0000 0.0000  12 Ga 3.13
Ga 0.0000 0.3341 0.5000  3 Ga 2.52-2.54
Ga 0.0000 0.6659 0.5000  3 Ga 2.52-2.54
Ga 0.3341 0.0000 0.5000  3 Ga 2.52-2.54
Ga 0.3341 0.3341 0.5000  3 Ga 2.52-2.54
Ga 0.6659 0.0000 0.5000  3 Ga 2.52-2.54
Ga 0.6659 0.6659 0.5000  3 Ga 2.52-2.54

Results
**Volume**: 182.26 Å³ per cell
**Formation energy from the elements**: -0.508 eV per atom
**Calculated density**: 8.92 g/cm3

***

8.
This record from the Alexandria database describes Ho2PaGa after structural relaxation. The functional is GGA-PBE.

Lattice parameters (Å, degrees): 3.3953 3.3953 8.7473 90.00 90.00 90.00
Last column: nearest neighbours and their distance in Å.
Fractional coordinates of all 4 atoms:
Ho 0.0000 0.0000 0.2211  4 Ga 3.08, 4 Ho 3.40, 4 Pa 3.42
Ho 0.0000 0.0000 0.7789  4 Ga 3.08, 4 Ho 3.40, 4 Pa 3.42
Pa 0.5000 0.5000 0.5000  4 Pa 3.40, 8 Ho 3.42
Ga 0.5000 0.5000 0.0000  8 Ho 3.08, 4 Ga 3.40

Results
**Volume**: 100.84 Å³ per cell
**Relative energy among the computed polymorphs**: 0.0000 eV/atom
**Formation energy from the elements**: -0.171 eV per atom
**Calculated density**: 10.38 g/cm3

***

9.
This record from the Alexandria database describes HoPaGa after structural relaxation. The functional is GGA-PBE.

Lattice parameters (Å, degrees): 5.0585 5.0585 3.2724 90.00 90.00 120.00
Last column: nearest neighbours and their distance in Å.
Fractional coordinates of all 3 atoms:
Ho 0.0000 0.0000 0.0000  3 Ga 3.01, 2 Ho 3.27, 3 Pa 3.29
Pa 0.6667 0.3333 0.4599  3 Ga 3.10, 2 Pa 3.27, 6 Ho 3.29-3.41
Ga 0.3333 0.6667 0.7759  3 Ho 3.01, 3 Pa 3.10, 2 Ga 3.27

Results
**Volume**: 72.52 Å³ per cell
**Relative energy among the computed polymorphs**: 0.1814 eV/atom
**Formation energy from the elements**: 0.043 eV per atom
**Calculated density**: 10.66 g/cm3

***

10.
This record from the Alexandria database describes HoPaGa2 after structural relaxation. The functional is GGA-PBE.

Lattice parameters (Å, degrees): 5.0378 5.0378 5.0378 60.00 60.00 60.00
Last column: nearest neighbours and their distance in Å.
Fractional coordinates of all 4 atoms:
Ho 0.0000 0.0000 0.0000  8 Ga 3.09
Pa 0.5000 0.5000 0.5000  8 Ga 3.09
Ga 0.2500 0.2500 0.2500  4 Pa 3.09, 4 Ho 3.09
Ga 0.7500 0.7500 0.7500  4 Ho 3.09, 4 Pa 3.09

Results
**Volume**: 90.41 Å³ per cell
**Relative energy among the computed polymorphs**: 0.0892 eV/atom
**Formation energy from the elements**: -0.302 eV per atom
**Calculated density**: 9.83 g/cm3

***

11.
This record from the Alexandria database describes HoPaGa after structural relaxation. The functional is GGA-PBE.

Lattice parameters (Å, degrees): 7.2498 7.2498 7.2498 154.18 154.18 36.84
Last column: nearest neighbours and their distance in Å.
Fractional coordinates of all 3 atoms:
Ho 0.0000 0.0000 0.0000  4 Ga 3.10, 4 Ho 3.24
Pa 0.3038 0.3038 0.0000  4 Ga 3.10, 4 Pa 3.24
Ga 0.6517 0.6517 0.0000  4 Ho 3.10, 4 Pa 3.10, 4 Ga 3.24

Results
**Volume**: 72.19 Å³ per cell
**Relative energy among the computed polymorphs**: 0.0000 eV/atom
**Formation energy from the elements**: -0.138 eV per atom
**Calculated density**: 10.71 g/cm3

***

12.
This record from the Alexandria database describes HoPa3Ga12 after structural relaxation. The functional is GGA-PBE.

Lattice parameters (Å, degrees): 4.2932 4.2932 17.1246 90.00 90.00 90.00
Last column: nearest neighbours and their distance in Å.
Fractional coordinates of all 16 atoms:
Ho 0.0000 0.0000 0.0000  12 Ga 3.01-3.04
Pa 0.0000 0.0000 0.2486  12 Ga 3.03-3.04
Pa 0.0000 0.0000 0.5000  12 Ga 3.04
Pa 0.0000 0.0000 0.7514  12 Ga 3.03-3.04
Ga 0.0000 0.5000 0.1235  2 Ho 3.01, 8 Ga 3.01-3.06, 2 Pa 3.03
Ga 0.0000 0.5000 0.3745  8 Ga 3.01-3.04, 4 Pa 3.04
Ga 0.0000 0.5000 0.6255  8 Ga 3.01-3.04, 4 Pa 3.04
Ga 0.0000 0.5000 0.8765  2 Ho 3.01, 8 Ga 3.01-3.06, 2 Pa 3.03
Ga 0.5000 0.0000 0.1235  2 Ho 3.01, 8 Ga 3.01-3.06, 2 Pa 3.03
Ga 0.5000 0.0000 0.3745  8 Ga 3.01-3.04, 4 Pa 3.04
Ga 0.5000 0.0000 0.6255  8 Ga 3.01-3.04, 4 Pa 3.04
Ga 0.5000 0.0000 0.8765  2 Ho 3.01, 8 Ga 3.01-3.06, 2 Pa 3.03
Ga 0.5000 0.5000 0.0000  8 Ga 3.01, 4 Ho 3.04
Ga 0.5000 0.5000 0.2512  8 Ga 3.01-3.06, 4 Pa 3.04
Ga 0.5000 0.5000 0.5000  4 Pa 3.04, 8 Ga 3.04
Ga 0.5000 0.5000 0.7488  8 Ga 3.01-3.06, 4 Pa 3.04

Results
**Volume**: 315.63 Å³ per cell
**Formation energy from the elements**: -0.417 eV per atom
**Calculated density**: 8.92 g/cm3

***

What is the calculated density in the tenth record?
9.83 g/cm3

***

Repeat the twelfth record exactly.
This record from the Alexandria database describes HoPa3Ga12 after structural relaxation. The functional is GGA-PBE.

Lattice parameters (Å, degrees): 4.2932 4.2932 17.1246 90.00 90.00 90.00
Last column: nearest neighbours and their distance in Å.
Fractional coordinates of all 16 atoms:
Ho 0.0000 0.0000 0.0000  12 Ga 3.01-3.04
Pa 0.0000 0.0000 0.2486  12 Ga 3.03-3.04
Pa 0.0000 0.0000 0.5000  12 Ga 3.04
Pa 0.0000 0.0000 0.7514  12 Ga 3.03-3.04
Ga 0.0000 0.5000 0.1235  2 Ho 3.01, 8 Ga 3.01-3.06, 2 Pa 3.03
Ga 0.0000 0.5000 0.3745  8 Ga 3.01-3.04, 4 Pa 3.04
Ga 0.0000 0.5000 0.6255  8 Ga 3.01-3.04, 4 Pa 3.04
Ga 0.0000 0.5000 0.8765  2 Ho 3.01, 8 Ga 3.01-3.06, 2 Pa 3.03
Ga 0.5000 0.0000 0.1235  2 Ho 3.01, 8 Ga 3.01-3.06, 2 Pa 3.03
Ga 0.5000 0.0000 0.3745  8 Ga 3.01-3.04, 4 Pa 3.04
Ga 0.5000 0.0000 0.6255  8 Ga 3.01-3.04, 4 Pa 3.04
Ga 0.5000 0.0000 0.8765  2 Ho 3.01, 8 Ga 3.01-3.06, 2 Pa 3.03
Ga 0.5000 0.5000 0.0000  8 Ga 3.01, 4 Ho 3.04
Ga 0.5000 0.5000 0.2512  8 Ga 3.01-3.06, 4 Pa 3.04
Ga 0.5000 0.5000 0.5000  4 Pa 3.04, 8 Ga 3.04
Ga 0.5000 0.5000 0.7488  8 Ga 3.01-3.06, 4 Pa 3.04

Results
**Volume**: 315.63 Å³ per cell
**Formation energy from the elements**: -0.417 eV per atom
**Calculated density**: 8.92 g/cm3

***

What is the volume in the tenth record?
90.41 Å³ per cell

***

calculated density of number 2 (HoGa2Tc2P)?
8.09 g/cm3